GGA-PBE NaHoAsO, optimized geometry; polymorph energy (0 for the lowest one) = 25.2 kJ per mole of atoms; SG = Pmc2_1, No. 26; magnetization = 0.01 μB per formula unit
1.0
3.6834 0.0000 0.0000
0.0000 8.1003 0.0000
0.0000 0.0000 6.3562
Na Ho As O
2 2 2 2
Direct
0.0000 0.2218 0.0000
0.0000 0.7782 0.5000
0.5000 0.3780 0.5777
0.5000 0.6220 0.0777
0.0000 0.1302 0.4561
0.0000 0.8698 0.9561
0.5000 0.4003 0.9063
0.5000 0.5997 0.4063



GGA-PBE K3TmCl6, optimized geometry; SG = P2_1/c, No. 14; magnetization = 0.00 μB per formula unit; raw total energy = -4.021 eV/atom
1.0
7.4300 0.0000 0.0000
0.0000 7.8596 0.0000
-7.2666 0.0000 10.6326
K Tm Cl
6 2 12
Direct
0.0000 0.0000 0.0000
0.0000 0.5000 0.5000
0.2159 0.0718 0.7437
0.2159 0.4282 0.2437
0.7841 0.5718 0.7563
0.7841 0.9282 0.2563
0.5000 0.0000 0.5000
0.5000 0.5000 0.0000
0.1622 0.1806 0.4436
0.1622 0.3194 0.9436
0.2567 0.7258 0.4247
0.2567 0.7742 0.9247
0.4010 0.0537 0.2736
0.4010 0.4463 0.7736
0.5990 0.5537 0.2264
0.5990 0.9463 0.7264
0.7433 0.2258 0.0753
0.7433 0.2742 0.5753
0.8378 0.6806 0.0564
0.8378 0.8194 0.5564